(1)
# NpAl2CrH8

A relaxed NpAl2CrH8 crystal (PBE, the Alexandria database).

It has space group P-3m1 (No. 164), with a = 4.2061 Å, b = 4.2061 Å, c = 6.1984 Å, α = 90.00°, β = 90.00° and γ = 120.00°. Symmetry generates all atoms from Np at (0.0000, 0.0000, 0.0000), Al at (0.3333, 0.6667, 0.6339), Cr at (0.0000, 0.0000, 0.5000), H at (0.1678, 0.3357, 0.3139) and H at (0.3333, 0.6667, 0.9273).

The calculation puts the raw total energy at -4.836 eV/atom. For the density of states at the Fermi level, the calculation gives 0.60 states/eV per atom.

---

(2)
# Y2MnIr

A relaxed Y2MnIr crystal (PBE, the Alexandria database).

It has space group F-43m (No. 216), with a = 6.868 Å, b = 6.868 Å, c = 6.868 Å, α = 90.00°, β = 90.00° and γ = 90.00°. Symmetry generates all atoms from Y at (0.000, 0.000, 0.000), Y at (0.250, 0.250, 0.250), Mn at (0.000, 0.000, 0.500) and Ir at (0.250, 0.250, 0.750).

The formation energy comes out at -1.08 kcal/mol of atoms. For the density of states at the Fermi level, the calculation gives 1.29 states/eV per atom.

---

(3)
# Ac4GaTe2Se

A relaxed Ac4GaTe2Se crystal (PBE, the Alexandria database).

It has space group P2/m (No. 10), with a = 8.012 Å, b = 4.622 Å, c = 8.212 Å, α = 90.00°, β = 109.04° and γ = 90.00°. Symmetry generates all atoms from Ac at (0.238, 0.000, 0.229), Ac at (0.251, 0.500, 0.772), Ga at (0.000, 0.500, 0.000), Te at (0.000, 0.000, 0.500), Te at (0.500, 0.500, 0.500) and Se at (0.500, 0.000, 0.000).

For the density of states at the Fermi level, the calculation gives 0.44 states/eV per atom. For the uncorrected formation energy, the calculation gives -1.36 eV per atom.

---

(4)
# Tb5Te2Pt

A relaxed Tb5Te2Pt crystal (PBE, the Alexandria database).

It has space group Cmcm (No. 63), with a = 5.928 Å, b = 12.048 Å, c = 13.891 Å, α = 90.00°, β = 90.00° and γ = 90.00°. Symmetry generates all atoms from Tb at (0.000, 0.062, 0.117), Tb at (0.000, 0.338, 0.750), Tb at (0.000, 0.386, 0.098), Te at (0.000, 0.196, 0.570) and Pt at (0.000, 0.228, 0.250).

For the density of states at the Fermi level, the calculation gives 0.86 states/eV per atom. For the uncorrected formation energy, the calculation gives -0.75 eV per atom.

---

(5)
# Tb3Tl3CuSe8

A relaxed Tb3Tl3CuSe8 crystal (PBE, the Alexandria database).

It has space group C2/m (No. 12), with a = 14.232 Å, b = 8.218 Å, c = 9.063 Å, α = 90.00°, β = 121.56° and γ = 90.00°. Symmetry generates all atoms from Tb at (0.000, 0.000, 0.000), Tb at (0.250, 0.250, 0.000), Tl at (0.000, 0.500, 0.500), Tl at (0.250, 0.250, 0.500), Cu at (0.000, 0.500, 0.000), Se at (0.013, 0.268, 0.806), Se at (0.217, 0.500, 0.191) and Se at (0.237, 0.000, 0.210).

For the density of states at the Fermi level, the calculation gives 0.67 states/eV per atom. For the uncorrected formation energy, the calculation gives -1.00 eV per atom.

---

(6)
# BaAl6Rh3

A relaxed BaAl6Rh3 crystal (PBE, the Alexandria database).

It has space group P2_1/c (No. 14), with a = 7.136 Å, b = 6.652 Å, c = 8.535 Å, α = 90.00°, β = 116.98° and γ = 90.00°. Symmetry generates all atoms from Ba at (0.000, 0.000, 0.000), Al at (0.143, 0.013, 0.682), Al at (0.323, 0.671, 0.898), Al at (0.448, 0.202, 0.256), Rh at (0.231, 0.162, 0.434) and Rh at (0.500, 0.000, 0.000).

The formation energy comes out at -12.11 kcal/mol of atoms. For the density of states at the Fermi level, the calculation gives 0.51 states/eV per atom.

---

(7)
# Ac3AsPt

A relaxed Ac3AsPt crystal (PBE, the Alexandria database).

It has space group Pm-3m (No. 221), with a = 5.848 Å, b = 5.848 Å, c = 5.848 Å, α = 90.00°, β = 90.00° and γ = 90.00°. Symmetry generates all atoms from Ac at (0.000, 0.000, 0.500), As at (0.500, 0.500, 0.500) and Pt at (0.000, 0.000, 0.000).

The formation energy comes out at -11.23 kcal/mol of atoms. For the density of states at the Fermi level, the calculation gives 1.18 states/eV per atom.

---

(8)
# GdMnZn4

A relaxed GdMnZn4 crystal (PBE, the Alexandria database).

It has space group F-43m (No. 216), with a = 7.391 Å, b = 7.391 Å, c = 7.391 Å, α = 90.00°, β = 90.00° and γ = 90.00°. Symmetry generates all atoms from Gd at (0.000, 0.000, 0.000), Mn at (0.250, 0.250, 0.750) and Zn at (0.124, 0.124, 0.376).

The formation energy comes out at -2.52 kcal/mol of atoms. For the density of states at the Fermi level, the calculation gives 0.65 states/eV per atom.

---

(9)
# TmNpH2

A relaxed TmNpH2 crystal (PBE, the Alexandria database).

It has space group R-3m (No. 166, hexagonal axes), with a = 3.4342 Å, b = 3.4342 Å, c = 17.9770 Å, α = 90.00°, β = 90.00° and γ = 120.00°. Symmetry generates all atoms from Tm at (0.0000, 0.0000, 0.0000), Np at (0.0000, 0.0000, 0.5000) and H at (0.0000, 0.0000, 0.3764).

The calculation puts the raw total energy at -6.215 eV/atom. For the density of states at the Fermi level, the calculation gives 1.68 states/eV per atom.

---

(10)
# Cr3RuBr

A relaxed Cr3RuBr crystal (PBE, the Alexandria database).

It has space group Pm-3m (No. 221), with a = 4.284 Å, b = 4.284 Å, c = 4.284 Å, α = 90.00°, β = 90.00° and γ = 90.00°. Symmetry generates all atoms from Cr at (0.000, 0.000, 0.500), Ru at (0.500, 0.500, 0.500) and Br at (0.000, 0.000, 0.000).

The calculation puts the energy above the most stable polymorph in this dataset at 0.539 eV per atom. For the density of states at the Fermi level, the calculation gives 1.86 states/eV per atom. For the uncorrected formation energy, the calculation gives 1.67 eV per atom.

---

(11)
# Ac10LaSm4

A relaxed Ac10LaSm4 crystal (PBE, the Alexandria database).

It has space group I4/m (No. 87), with a = 12.186 Å, b = 12.186 Å, c = 9.384 Å, α = 90.00°, β = 90.00° and γ = 90.00°. Symmetry generates all atoms from Ac at (0.000, 0.500, 0.250), Ac at (0.113, 0.780, 0.193), La at (0.000, 0.000, 0.000) and Sm at (0.068, 0.220, 0.500).

The formation energy comes out at 11.59 kcal/mol of atoms. For the density of states at the Fermi level, the calculation gives 1.51 states/eV per atom.

---

(12)
# TeRhPb2

A relaxed TeRhPb2 crystal (PBE, the Alexandria database).

It has space group Immm (No. 71), with a = 3.510 Å, b = 4.452 Å, c = 13.612 Å, α = 90.00°, β = 90.00° and γ = 90.00°. Symmetry generates all atoms from Te at (0.000, 0.000, 0.000), Rh at (0.000, 0.000, 0.500) and Pb at (0.000, 0.500, 0.173).

For the density of states at the Fermi level, the calculation gives 0.65 states/eV per atom. For the uncorrected formation energy, the calculation gives -0.04 eV per atom.

---

(13)
# Tm2ScZn4

A relaxed Tm2ScZn4 crystal (PBE, the Alexandria database).

It has space group I4/mmm (No. 139), with a = 4.968 Å, b = 4.968 Å, c = 12.269 Å, α = 90.00°, β = 90.00° and γ = 90.00°. Symmetry generates all atoms from Tm at (0.000, 0.000, 0.231), Sc at (0.000, 0.000, 0.500) and Zn at (0.000, 0.500, 0.107).

The formation energy comes out at -3.88 kcal/mol of atoms. For the density of states at the Fermi level, the calculation gives 0.59 states/eV per atom.

---

(14)
# Cu6Ni4Rh

A relaxed Cu6Ni4Rh crystal (PBE, the Alexandria database).

It has space group I-42m (No. 121), with a = 4.825 Å, b = 4.825 Å, c = 12.278 Å, α = 90.00°, β = 90.00° and γ = 90.00°. Symmetry generates all atoms from Cu at (0.000, 0.500, 0.000), Cu at (0.187, 0.187, 0.363), Ni at (0.194, 0.194, 0.170) and Rh at (0.000, 0.000, 0.000).

The formation energy comes out at 7.47 kcal/mol of atoms. For the density of states at the Fermi level, the calculation gives 1.16 states/eV per atom.

---

(15)
# TlSiAu

A relaxed TlSiAu crystal (PBE, the Alexandria database).

It has space group P-1 (No. 2), with a = 3.937 Å, b = 4.501 Å, c = 8.252 Å, α = 91.52°, β = 90.41° and γ = 104.17°. Symmetry generates all atoms from Tl at (0.214, 0.283, 0.119), Si at (0.269, 0.601, 0.568) and Au at (0.387, 0.124, 0.683).

For the density of states at the Fermi level, the calculation gives 0.37 states/eV per atom. For the uncorrected formation energy, the calculation gives 0.07 eV per atom.

---

(16)
# Ca2InP2

A relaxed Ca2InP2 crystal (PBE, the Alexandria database).

It has space group P4/mbm (No. 127), with a = 7.575 Å, b = 7.575 Å, c = 3.979 Å, α = 90.00°, β = 90.00° and γ = 90.00°. Symmetry generates all atoms from Ca at (0.148, 0.352, 0.000), In at (0.000, 0.000, 0.500) and P at (0.162, 0.662, 0.500).

The formation energy comes out at -16.73 kcal/mol of atoms. The calculation puts the energy above the most stable polymorph in this dataset at 0.000 eV per atom. For the density of states at the Fermi level, the calculation gives 0.64 states/eV per atom.

---

(17)
# La6Co2Au

A relaxed La6Co2Au crystal (PBE, the Alexandria database).

It has space group Immm (No. 71), with a = 9.381 Å, b = 10.265 Å, c = 10.502 Å, α = 90.00°, β = 90.00° and γ = 90.00°. Symmetry generates all atoms from La at (0.000, 0.205, 0.211), La at (0.193, 0.327, 0.500), La at (0.196, 0.500, 0.166), Co at (0.000, 0.343, 0.000), Co at (0.000, 0.500, 0.362), Au at (0.000, 0.000, 0.000) and Au at (0.000, 0.000, 0.500).

The formation energy comes out at -6.20 kcal/mol of atoms. For the density of states at the Fermi level, the calculation gives 0.88 states/eV per atom.

---

(18)
# K2BSe3

A relaxed K2BSe3 crystal (PBE, the Alexandria database).

It has space group C2/c (No. 15), with a = 12.927 Å, b = 9.015 Å, c = 6.110 Å, α = 90.00°, β = 98.03° and γ = 90.00°. Symmetry generates all atoms from K at (0.148, 0.164, 0.235), B at (0.000, 0.372, 0.750), Se at (0.000, 0.155, 0.750) and Se at (0.129, 0.488, 0.855).

The calculation puts the energy above the most stable polymorph in this dataset at 0.041 eV per atom. For the density of states at the Fermi level, the calculation gives 0.19 states/eV per atom. For the uncorrected formation energy, the calculation gives -0.63 eV per atom.

---

(19)
# Mn2HgW

A relaxed Mn2HgW crystal (PBE, the Alexandria database).

It has space group P4/mmm (No. 123), with a = 3.151 Å, b = 3.151 Å, c = 6.335 Å, α = 90.00°, β = 90.00° and γ = 90.00°. Symmetry generates all atoms from Mn at (0.000, 0.000, 0.214), Hg at (0.500, 0.500, 0.500) and W at (0.500, 0.500, 0.000).

The formation energy comes out at 6.93 kcal/mol of atoms. For the density of states at the Fermi level, the calculation gives 0.74 states/eV per atom.

---

(20)
# GaBiCl

A relaxed GaBiCl crystal (PBE, the Alexandria database).

It has space group P-1 (No. 2), with a = 4.588 Å, b = 7.007 Å, c = 7.359 Å, α = 64.20°, β = 81.22° and γ = 77.56°. Symmetry generates all atoms from Ga at (0.181, 0.401, 0.133), Bi at (0.200, 0.129, 0.540) and Cl at (0.415, 0.710, 0.081).

For the uncorrected formation energy, the calculation gives -0.47 eV per atom.

---

Q: Which theoretical density values were calculated for the entries above? A: 6.14, 8.71, 7.58, 8.33, 6.56, 5.59, 7.89, 7.80, 11.07, 7.11, 7.17, 10.07, 7.07, 8.35, 10.06, 3.74, 7.54, 3.07, 13.05, 5.03, in g cm⁻³.
Q: Which volume values were calculated for the entries above? A: 7.91, 20.25, 35.93, 31.00, 30.11, 18.05, 40.01, 16.82, 15.30, 15.73, 46.45, 26.59, 21.63, 12.99, 23.62, 22.83, 28.09, 29.38, 15.72, 34.59, in Å³/atom.